A relaxed Ag2Sb crystal, computed with GGA-PBEsol. Values from VASP.

Geometry as Quantum ESPRESSO input:
```
&SYSTEM
  ibrav = 0, nat = 12, ntyp = 2
/
ATOMIC_SPECIES
Ag 107.87 Ag.upf
Sb 121.76 Sb.upf
CELL_PARAMETERS angstrom
5.299 0.000 0.000
0.000 5.306 0.000
0.000 0.000 8.429
ATOMIC_POSITIONS angstrom
Ag 0.000 0.000 1.408
Ag 0.000 0.000 7.022
Ag 0.000 2.653 2.807
Ag 0.000 2.653 5.622
Ag 2.649 0.000 2.807
Ag 2.649 0.000 5.622
Ag 2.649 2.653 1.408
Ag 2.649 2.653 7.022
Sb 0.000 0.000 4.215
Sb 0.000 2.653 0.000
Sb 2.649 0.000 0.000
Sb 2.649 2.653 4.215
```

relative energy among the computed polymorphs = 25.3 meV/atom
symmetry = Fmmm, No. 69
formation energy without anion corrections = 7.51 kJ/mol of atoms
DOS(E_F) = 0.3391 states/eV/atom
raw total energy = -3.649 eV/atom